# YHfPa

An optimized crystal structure of YHfPa (PBE, Alexandria).

Geometry as extended XYZ:
```
6
Lattice="-0.425 -0.539 5.403 2.633 -0.811 4.699 2.044 8.847 5.450" Properties=species:S:1:pos:R:3 pbc="T T T"
Hf 1.774 4.665 5.894
Y 1.850 -0.620 8.269
Pa 2.221 2.865 8.534
Pa 2.113 7.685 6.200
Y 2.648 0.973 11.118
Hf 2.561 5.885 8.840
```

Results
Total moment (μB/cell): 0.0
Formation enthalpy at 0 K (eV per formula unit): 0.9
ΔE to the lowest computed polymorph (meV/atom): 117.3
Symmetry: C2/m, No. 12
Uncorrected energy (eV/cell): -49.99